First-principles (SCAN) data for a PBEsol-optimized structure of AsBr, as listed in Alexandria via LeMat-Bulk.

Results
- spin magnetization (μB/atom) = 0.00
- calculated total energy (eV per atom) = -20.079
- distance to the lowest polymorph of the same formula (eV per atom) = 0.000

a b c (Å): 5.682 5.682 5.787
angles (deg): 99.78 99.78 37.76
Atoms (fractional coordinates):
As (0.207, 0.207, 0.358)
As (0.793, 0.793, 0.642)
Br (0.394, 0.394, 0.189)
Br (0.606, 0.606, 0.811)



First-principles (SCAN) data for a PBEsol-optimized structure of AsBr3, as listed in Alexandria via LeMat-Bulk.

Results
- spin magnetization (μB/atom) = 0.00
- calculated total energy (eV per atom) = -20.027
- Fermi-level density of states (states/eV per atom) = 0.00

a b c (Å): 5.164 7.251 8.893
angles (deg): 90.00 90.00 90.00
Atoms (fractional coordinates):
As (0.250, 0.250, 0.158)
As (0.750, 0.750, 0.842)
Br (0.250, 0.004, 0.327)
Br (0.250, 0.496, 0.327)
Br (0.250, 0.750, 0.915)
Br (0.750, 0.250, 0.085)
Br (0.750, 0.504, 0.673)
Br (0.750, 0.996, 0.673)



First-principles (SCAN) data for a PBEsol-optimized structure of AsBr3, as listed in Alexandria via LeMat-Bulk.

Results
- spin magnetization (μB/atom) = 0.00
- calculated total energy (eV per atom) = -19.096
- Fermi-level density of states (states/eV per atom) = 0.82

a b c (Å): 5.666 5.666 5.666
angles (deg): 90.00 90.00 90.00
Atoms (fractional coordinates):
As (0.000, 0.000, 0.000)
As (0.500, 0.500, 0.500)
Br (0.000, 0.250, 0.500)
Br (0.000, 0.750, 0.500)
Br (0.250, 0.500, 0.000)
Br (0.500, 0.000, 0.250)
Br (0.500, 0.000, 0.750)
Br (0.750, 0.500, 0.000)



First-principles (SCAN) data for a PBEsol-optimized structure of CaAsCBr2, as listed in Alexandria via LeMat-Bulk.

Results
- spin magnetization (μB/atom) = 0.83
- calculated total energy (eV per atom) = -14.788
- Fermi-level density of states (states/eV per atom) = 0.80

a b c (Å): 5.439 5.439 5.904
angles (deg): 90.00 90.00 90.00
Atoms (fractional coordinates):
Ca (0.000, 0.000, 0.000)
As (0.000, 0.000, 0.500)
C (0.500, 0.500, 0.500)
Br (0.000, 0.500, 0.000)
Br (0.500, 0.000, 0.000)



First-principles (SCAN) data for a PBEsol-optimized structure of AsCBr2Cl, as listed in Alexandria via LeMat-Bulk.

Results
- spin magnetization (μB/atom) = 0.00
- calculated total energy (eV per atom) = -14.256
- Fermi-level density of states (states/eV per atom) = 0.48

a b c (Å): 4.480 4.480 4.665
angles (deg): 90.00 90.00 90.00
Atoms (fractional coordinates):
As (0.000, 0.000, 0.000)
C (0.000, 0.000, 0.500)
Br (0.000, 0.500, 0.500)
Br (0.500, 0.000, 0.500)
Cl (0.500, 0.500, 0.000)



First-principles (SCAN) data for a PBEsol-optimized structure of As2CBrCl, as listed in Alexandria via LeMat-Bulk.

Results
- spin magnetization (μB/atom) = 0.00
- calculated total energy (eV per atom) = -14.362
- Fermi-level density of states (states/eV per atom) = 0.62

a b c (Å): 4.503 4.503 4.430
angles (deg): 90.00 90.00 90.00
Atoms (fractional coordinates):
As (0.000, 0.500, 0.000)
As (0.500, 0.000, 0.000)
C (0.000, 0.000, 0.000)
Br (0.000, 0.000, 0.500)
Cl (0.500, 0.500, 0.500)



First-principles (SCAN) data for a PBEsol-optimized structure of Cu2AsCBr, as listed in Alexandria via LeMat-Bulk.

Results
- spin magnetization (μB/atom) = 0.15
- calculated total energy (eV per atom) = -14.932
- Fermi-level density of states (states/eV per atom) = 0.23

a b c (Å): 4.691 4.691 3.879
angles (deg): 90.00 90.00 90.00
Atoms (fractional coordinates):
Cu (0.000, 0.500, 0.000)
Cu (0.500, 0.000, 0.000)
As (0.000, 0.000, 0.000)
C (0.000, 0.000, 0.500)
Br (0.500, 0.500, 0.500)



First-principles (SCAN) data for a PBEsol-optimized structure of CuAs2CBr, as listed in Alexandria via LeMat-Bulk.

Results
- spin magnetization (μB/atom) = 0.13
- calculated total energy (eV per atom) = -15.177
- Fermi-level density of states (states/eV per atom) = 0.97

a b c (Å): 4.613 4.613 4.776
angles (deg): 90.00 90.00 90.00
Atoms (fractional coordinates):
Cu (0.000, 0.000, 0.000)
As (0.000, 0.500, 0.000)
As (0.500, 0.000, 0.000)
C (0.500, 0.500, 0.500)
Br (0.000, 0.000, 0.500)



First-principles (SCAN) data for a PBEsol-optimized structure of CuAsCBr2, as listed in Alexandria via LeMat-Bulk.

Results
- spin magnetization (μB/atom) = 0.00
- calculated total energy (eV per atom) = -15.495
- Fermi-level density of states (states/eV per atom) = 0.67

a b c (Å): 5.018 5.018 3.842
angles (deg): 90.00 90.00 90.00
Atoms (fractional coordinates):
Cu (0.000, 0.000, 0.000)
As (0.500, 0.500, 0.000)
C (0.500, 0.500, 0.500)
Br (0.000, 0.500, 0.500)
Br (0.500, 0.000, 0.500)



First-principles (SCAN) data for a PBEsol-optimized structure of InAsCBr2, as listed in Alexandria via LeMat-Bulk.

Results
- spin magnetization (μB/atom) = 0.00
- calculated total energy (eV per atom) = -19.657
- Fermi-level density of states (states/eV per atom) = 0.46

a b c (Å): 5.420 5.420 3.896
angles (deg): 90.00 90.00 90.00
Atoms (fractional coordinates):
In (0.000, 0.000, 0.000)
As (0.500, 0.500, 0.000)
C (0.500, 0.500, 0.500)
Br (0.000, 0.500, 0.500)
Br (0.500, 0.000, 0.500)



First-principles (SCAN) data for a PBEsol-optimized structure of InAs2CBr, as listed in Alexandria via LeMat-Bulk.

Results
- spin magnetization (μB/atom) = 0.05
- calculated total energy (eV per atom) = -18.738
- Fermi-level density of states (states/eV per atom) = 0.90

a b c (Å): 5.217 5.217 5.300
angles (deg): 90.00 90.00 90.00
Atoms (fractional coordinates):
In (0.000, 0.000, 0.000)
As (0.000, 0.500, 0.000)
As (0.500, 0.000, 0.000)
C (0.500, 0.500, 0.500)
Br (0.000, 0.000, 0.500)



First-principles (SCAN) data for a PBEsol-optimized structure of KAsCBr2, as listed in Alexandria via LeMat-Bulk.

Results
- spin magnetization (μB/atom) = 0.00
- calculated total energy (eV per atom) = -15.151
- Fermi-level density of states (states/eV per atom) = 0.58

a b c (Å): 5.496 5.496 3.898
angles (deg): 90.00 90.00 90.00
Atoms (fractional coordinates):
K (0.000, 0.000, 0.000)
As (0.500, 0.500, 0.000)
C (0.500, 0.500, 0.500)
Br (0.000, 0.500, 0.500)
Br (0.500, 0.000, 0.500)



First-principles (SCAN) data for a PBEsol-optimized structure of LaAs2CBr, as listed in Alexandria via LeMat-Bulk.

Results
- spin magnetization (μB/atom) = 0.29
- calculated total energy (eV per atom) = -21.248
- Fermi-level density of states (states/eV per atom) = 0.80

a b c (Å): 5.793 5.793 5.629
angles (deg): 90.00 90.00 90.00
Atoms (fractional coordinates):
La (0.000, 0.000, 0.000)
As (0.000, 0.500, 0.000)
As (0.500, 0.000, 0.000)
C (0.500, 0.500, 0.500)
Br (0.000, 0.000, 0.500)



First-principles (SCAN) data for a PBEsol-optimized structure of AsPCBr2, as listed in Alexandria via LeMat-Bulk.

Results
- spin magnetization (μB/atom) = 0.00
- calculated total energy (eV per atom) = -14.354
- Fermi-level density of states (states/eV per atom) = 0.47
- distance to the lowest polymorph of the same formula (eV per atom) = 0.000

a b c (Å): 4.432 4.432 4.497
angles (deg): 90.00 90.00 90.00
Atoms (fractional coordinates):
As (0.000, 0.000, 0.000)
P (0.500, 0.500, 0.000)
C (0.000, 0.000, 0.500)
Br (0.000, 0.500, 0.500)
Br (0.500, 0.000, 0.500)



First-principles (SCAN) data for a PBEsol-optimized structure of AsPCBr2, as listed in Alexandria via LeMat-Bulk.

Results
- spin magnetization (μB/atom) = 0.06
- calculated total energy (eV per atom) = -14.170
- Fermi-level density of states (states/eV per atom) = 0.31
- distance to the lowest polymorph of the same formula (eV per atom) = 0.185

a b c (Å): 4.858 4.858 4.979
angles (deg): 90.00 90.00 90.00
Atoms (fractional coordinates):
As (0.000, 0.000, 0.000)
P (0.000, 0.000, 0.500)
C (0.500, 0.500, 0.000)
Br (0.000, 0.500, 0.500)
Br (0.500, 0.000, 0.500)



First-principles (SCAN) data for a PBEsol-optimized structure of As2PdCBr, as listed in Alexandria via LeMat-Bulk.

Results
- spin magnetization (μB/atom) = 0.15
- calculated total energy (eV per atom) = -18.774
- Fermi-level density of states (states/eV per atom) = 1.03

a b c (Å): 4.765 4.765 5.068
angles (deg): 90.00 90.00 90.00
Atoms (fractional coordinates):
As (0.000, 0.500, 0.000)
As (0.500, 0.000, 0.000)
Pd (0.000, 0.000, 0.000)
C (0.500, 0.500, 0.500)
Br (0.000, 0.000, 0.500)



First-principles (SCAN) data for a PBEsol-optimized structure of As2PtCBr, as listed in Alexandria via LeMat-Bulk.

Results
- spin magnetization (μB/atom) = 0.00
- calculated total energy (eV per atom) = -26.643
- Fermi-level density of states (states/eV per atom) = 0.46

a b c (Å): 4.322 4.322 4.257
angles (deg): 90.00 90.00 90.00
Atoms (fractional coordinates):
As (0.000, 0.500, 0.000)
As (0.500, 0.000, 0.000)
Pt (0.000, 0.000, 0.500)
C (0.500, 0.500, 0.000)
Br (0.500, 0.500, 0.500)



First-principles (SCAN) data for a PBEsol-optimized structure of TiAs2CBr, as listed in Alexandria via LeMat-Bulk.

Results
- spin magnetization (μB/atom) = 0.22
- calculated total energy (eV per atom) = -15.902
- Fermi-level density of states (states/eV per atom) = 0.53

a b c (Å): 4.868 4.868 4.829
angles (deg): 90.00 90.00 90.00
Atoms (fractional coordinates):
Ti (0.000, 0.000, 0.000)
As (0.000, 0.500, 0.000)
As (0.500, 0.000, 0.000)
C (0.500, 0.500, 0.500)
Br (0.000, 0.000, 0.500)



First-principles (SCAN) data for a PBEsol-optimized structure of ZnAs2CBr, as listed in Alexandria via LeMat-Bulk.

Results
- spin magnetization (μB/atom) = 0.00
- calculated total energy (eV per atom) = -15.403
- Fermi-level density of states (states/eV per atom) = 0.87

a b c (Å): 4.313 4.313 4.761
angles (deg): 90.00 90.00 90.00
Atoms (fractional coordinates):
Zn (0.000, 0.000, 0.000)
As (0.000, 0.500, 0.500)
As (0.500, 0.000, 0.500)
C (0.500, 0.500, 0.500)
Br (0.500, 0.500, 0.000)



First-principles (SCAN) data for a PBEsol-optimized structure of ZrAsCBr2, as listed in Alexandria via LeMat-Bulk.

Results
- spin magnetization (μB/atom) = 0.20
- calculated total energy (eV per atom) = -19.116
- Fermi-level density of states (states/eV per atom) = 0.60

a b c (Å): 5.148 5.148 5.299
angles (deg): 90.00 90.00 90.00
Atoms (fractional coordinates):
Zr (0.000, 0.000, 0.000)
As (0.000, 0.000, 0.500)
C (0.500, 0.500, 0.500)
Br (0.000, 0.500, 0.000)
Br (0.500, 0.000, 0.000)